Entry 1:
Crystalline ZrTl2Cu2 at its relaxed geometry, computed with PBE-GGA.

Unit cell a=7.375 b=7.375 c=3.591 alpha=90.00 beta=90.00 gamma=90.00
Sites, in units of the cell vectors:
Tl1 0.181 0.681 0.500
Tl2 0.681 0.819 0.500
Tl3 0.819 0.319 0.500
Tl4 0.319 0.181 0.500
Cu1 0.381 0.881 0.000
Cu2 0.881 0.619 0.000
Cu3 0.619 0.119 0.000
Cu4 0.119 0.381 0.000
Zr1 0.000 0.000 0.000
Zr2 0.500 0.500 0.000

Output
Fermi-level density of states ... 3.636 states/eV/f.u.
Energy of formation from the pure elements ... 0.18 eV per atom
Energy above the lowest structure with this stoichiometry ... 0 meV/atom

Entry 2:
Crystalline ZrTlCu2 at its relaxed geometry, computed with PBE-GGA.

Unit cell a=4.271 b=3.474 c=5.175 alpha=70.60 beta=90.00 gamma=90.00
Sites, in units of the cell vectors:
Cu1 0.000 0.194 0.985
Cu2 0.500 0.061 0.256
Tl1 0.000 0.471 0.433
Zr1 0.500 0.774 0.826

Output
Fermi-level density of states ... 1.811 states/eV/f.u.
Energy of formation from the pure elements ... 0.08 eV per atom